Entry 1:
The following is a GGA-PBE calculation of an optimized crystal structure of CePrEr2, from Alexandria via LeMat-Bulk.

Lattice parameters (Å, degrees): 3.567 3.567 9.929 90.00 90.00 90.00
Site moments in Bohr magnetons follow the coordinates.
Atoms (fractional coordinates):
Pr  0.500  0.500  0.500  0.00
Er  0.000  0.000  0.761  0.01
Er  0.000  0.000  0.239  0.01
Ce  0.500  0.500  0.000  0.52

Electronic total energy, eV/cell: -19.60
E above lowest polymorph, meV/atom: 2
E_form, meV per atom: 60
V, Å³/cell: 126.3
Space-group type: P4/mmm, No. 123

---

Entry 2:
The following is a GGA-PBE calculation of an optimized crystal structure of CoHgTe2, from Alexandria via LeMat-Bulk.

Lattice parameters (Å, degrees): 3.768 3.768 16.321 90.00 90.00 120.00
Atoms (fractional coordinates):
Hg  0.667  0.333  0.750
Hg  0.333  0.667  0.250
Co  0.000  0.000  0.000
Co  0.000  0.000  0.500
Te  0.667  0.333  0.082
Te  0.667  0.333  0.418
Te  0.333  0.667  0.918
Te  0.333  0.667  0.582

Formation energy (no corrections), eV/atom: -0.13
Electronic total energy, eV/cell: -28.39
V, Å³/cell: 200.6
Space-group type: P6_3/mmc, No. 194

---

Entry 3:
The following is a GGA-PBE calculation of an optimized crystal structure of BeAl4Ni15, from Alexandria via LeMat-Bulk.

Lattice parameters (Å, degrees): 3.548 3.548 17.617 90.00 90.00 90.00
Site moments in Bohr magnetons follow the coordinates.
Atoms (fractional coordinates):
Ni  0.500  0.500  0.805  0.29
Ni  0.000  0.500  0.704  0.29
Ni  0.500  0.000  0.296  0.29
Ni  0.500  0.000  0.500  0.28
Ni  0.500  0.000  0.092  0.38
Ni  0.500  0.000  0.908  0.38
Ni  0.000  0.500  0.296  0.29
Ni  0.000  0.500  0.092  0.38
Ni  0.000  0.500  0.500  0.28
Ni  0.500  0.500  0.195  0.29
Ni  0.000  0.500  0.908  0.38
Ni  0.500  0.500  0.000  0.47
Ni  0.500  0.500  0.602  0.28
Ni  0.500  0.000  0.704  0.29
Ni  0.500  0.500  0.398  0.28
Al  0.000  0.000  0.602  -0.01
Al  0.000  0.000  0.194  -0.01
Al  0.000  0.000  0.806  -0.01
Al  0.000  0.000  0.398  -0.01
Be  0.000  0.000  0.000  -0.02

Electronic total energy, eV/cell: -112.87
E_form, meV per atom: -373
V, Å³/cell: 221.8
Space-group type: P4/mmm, No. 123

---

Entry 4:
The following is a GGA-PBE calculation of an optimized crystal structure of Br3O, from Alexandria via LeMat-Bulk.

Lattice parameters (Å, degrees): 8.482 8.482 8.482 26.92 26.92 26.92
Atoms (fractional coordinates):
Br  0.500  0.500  0.500
Br  0.921  0.921  0.921
Br  0.079  0.079  0.079
O  0.000  0.000  0.000

Formation energy (no corrections), eV/atom: 0.60
Electronic total energy, eV/cell: -7.56
E above lowest polymorph, meV/atom: 168
V, Å³/cell: 110.3
Space-group type: R-3m, No. 166

---

Entry 5:
The following is a GGA-PBE calculation of an optimized crystal structure of BaLi2Tl4In, from Alexandria via LeMat-Bulk.

Lattice parameters (Å, degrees): 5.070 5.070 10.800 76.43 76.43 60.00
Atoms (fractional coordinates):
Tl  0.600  0.600  0.199
Tl  0.880  0.880  0.359
Tl  0.400  0.400  0.801
Tl  0.120  0.120  0.641
In  0.500  0.500  0.500
Li  0.223  0.223  0.331
Li  0.777  0.777  0.669
Ba  0.000  0.000  0.000

Electronic total energy, eV/cell: -19.68
E_form, meV per atom: -216
V, Å³/cell: 231.4
Space-group type: R-3m, No. 166

---

Entry 6:
The following is a GGA-PBE calculation of an optimized crystal structure of Ti11Co4Ni9, from Alexandria via LeMat-Bulk.

Lattice parameters (Å, degrees): 2.902 11.111 11.111 116.91 90.00 90.00
Site moments in Bohr magnetons follow the coordinates.
Atoms (fractional coordinates):
Ti  0.000  0.827  0.173  0.57
Ti  0.000  0.403  0.059  0.16
Ti  0.000  0.597  0.941  0.16
Ti  0.000  0.281  0.281  0.01
Ti  0.000  0.941  0.597  0.16
Ti  0.000  0.059  0.403  0.16
Ti  0.000  0.719  0.719  0.01
Ti  0.000  0.630  0.370  0.00
Ti  0.000  0.173  0.827  0.57
Ti  0.000  0.370  0.630  0.00
Ti  0.000  0.000  0.000  0.00
Co  0.500  0.563  0.756  0.01
Co  0.500  0.244  0.437  0.01
Co  0.500  0.437  0.244  0.01
Co  0.500  0.756  0.563  0.01
Ni  0.500  0.843  0.380  0.02
Ni  0.500  0.045  0.196  0.03
Ni  0.500  0.955  0.804  0.03
Ni  0.500  0.500  0.500  0.00
Ni  0.500  0.380  0.843  0.02
Ni  0.500  0.804  0.955  0.03
Ni  0.500  0.620  0.157  0.02
Ni  0.500  0.157  0.620  0.02
Ni  0.500  0.196  0.045  0.03

Electronic total energy, eV/cell: -175.88
E_form, meV per atom: -358
V, Å³/cell: 319.5
Space-group type: Cmmm, No. 65

---

What is the electronic total energy in the sixth record?
-175.88 eV/cell